This record from the Alexandria database describes Pu3Si6Pt20 after structural relaxation. The functional is PBE.

Mass density   16.68 g/cm3
ΔE_f (raw)   -64.6 kJ per mole of atoms

a = 12.413 Å, b = 12.413 Å, c = 12.413 Å
α = 90.00°, β = 90.00°, γ = 90.00°
Space group Fm-3m (No. 225)
Symmetry-distinct sites (fractional):
Pu 0.000 0.000 0.000 x4
Pu 0.250 0.250 0.250 x8
Si 0.000 0.000 0.267 x24
Pt 0.000 0.173 0.173 x48
Pt 0.115 0.115 0.385 x32

---

This record from the Alexandria database describes LaPmSmY after structural relaxation. The functional is PBE.

Mass density   6.29 g/cm3
Energy of formation from the pure elements   2.5 kJ/mol of atoms

a = 5.165 Å, b = 5.165 Å, c = 10.352 Å
α = 90.00°, β = 90.00°, γ = 90.00°
Space group I-4m2 (No. 119)
Symmetry-distinct sites (fractional):
La 0.000 0.000 0.000 x2
Pm 0.000 0.500 0.750 x2
Sm 0.000 0.500 0.250 x2
Y 0.000 0.000 0.500 x2